Version P
Material: NaRhI2O
Method: DFT, PBE
State: optimized geometry

Summary:
**Total magnetic moment**: 0.000 μB/cell

```
5
Lattice="5.7533 0.0000 0.0000 0.0000 5.7533 0.0000 0.0000 0.0000 3.7915" Properties=species:S:1:pos:R:3 pbc="T T T"
I 0.0000 2.8766 0.0000
I 2.8766 0.0000 0.0000
Na 2.8766 2.8766 1.8957
Rh 0.0000 0.0000 0.0000
O 0.0000 0.0000 1.8957
```

Version Q
Material: NaRhI2O
Method: DFT, PBE
State: optimized geometry

Summary:
**Total magnetic moment**: 0.000 μB/cell

```
5
Lattice="-4.2546 1.2097 3.3717 2.9310 -1.8339 4.3565 1.4690 3.6448 0.5460" Properties=species:S:1:pos:R:3 pbc="T T T"
I 1.4655 -0.9169 2.1782
I -2.1273 0.6048 1.6858
Na 0.0000 0.0000 0.0000
Rh 0.0727 1.5103 4.1371
O 0.7345 1.8224 0.2730
```

Stability ranking, top and bottom: version P is the most stable and version Q is the least stable.

Version P
Material: NaRuIO2
Method: DFT, PBE
State: optimized geometry

Summary:
**Total magnetic moment**: 0.338 μB/cell

```
5
Lattice="-1.3292 3.3789 1.5301 1.2679 -1.1135 3.5606 5.1030 2.4792 -1.0419" Properties=species:S:1:pos:R:3 pbc="T T T"
I 2.5515 1.2396 -0.5209
Ru 0.0000 0.0000 0.0000
O 0.6340 -0.5568 1.7803
O -0.6646 1.6895 0.7650
Na 2.5209 2.3723 2.0244
```

Version Q
Material: NaRuIO2
Method: DFT, PBE
State: optimized geometry

Summary:
**Total magnetic moment**: 1.991 μB/cell

```
5
Lattice="4.3060 0.0000 0.0000 0.0000 4.9331 0.0000 0.0000 0.0000 4.3060" Properties=species:S:1:pos:R:3 pbc="T T T"
I 0.0000 0.0000 0.0000
Ru 0.0000 2.4665 0.0000
O 0.0000 0.0000 2.1530
O 2.1530 0.0000 0.0000
Na 2.1530 2.4665 2.1530
```

Stability ranking, top and bottom: version P is the most stable and version Q is the least stable.

Version P
Material: NaSbIO2
Method: DFT, PBE
State: optimized geometry

Summary:
**Total magnetic moment**: 0.000 μB/cell

```
10
Lattice="5.4688 0.0000 0.0000 0.0000 5.8479 0.0000 0.0000 -2.9240 6.9746" Properties=species:S:1:pos:R:3 pbc="T T T"
Na 1.3672 2.9240 1.1534
Na 4.1016 0.0000 5.8212
Sb 1.3672 2.9240 6.1445
Sb 4.1016 0.0000 0.8301
I 4.1016 2.9240 3.6629
I 1.3672 0.0000 3.3117
O 2.7344 1.2792 0.0000
O 0.0000 4.5687 0.0000
O 2.7344 4.5687 0.0000
O 0.0000 1.2792 0.0000
```

Version Q
Material: NaSbIO2
Method: DFT, PBE
State: optimized geometry

Summary:
**Total magnetic moment**: 0.000 μB/cell

```
5
Lattice="-0.5488 2.5408 -3.5566 2.6642 -2.6472 -2.3022 -4.2354 -2.9796 -1.4751" Properties=species:S:1:pos:R:3 pbc="T T T"
I -2.1177 -1.4898 -0.7376
Sb -1.0600 -1.5430 -3.6670
O 1.3321 -1.3236 -1.1511
O -0.2744 1.2704 -1.7783
Na 0.0000 0.0000 0.0000
```

Stability ranking, top and bottom: version P is the most stable and version Q is the least stable.

Version P
Material: NaScIO2
Method: DFT, PBE
State: optimized geometry

Summary:
**Total magnetic moment**: 0.000 μB/cell

```
5
Lattice="-1.3929 3.2637 2.1168 -3.5646 -0.1705 -2.0826 -2.3493 -3.8131 4.3332" Properties=species:S:1:pos:R:3 pbc="T T T"
I -1.1747 -1.9065 2.1666
Sc 0.0000 0.0000 0.0000
O -1.7823 -0.0853 -1.0413
O -0.6964 1.6318 1.0584
Na -3.6534 -0.3600 2.1837
```

Version Q
Material: NaScIO2
Method: DFT, PBE
State: optimized geometry

Summary:
**Total magnetic moment**: 0.000 μB/cell

```
5
Lattice="-2.1011 -3.1723 1.9187 -0.0742 -2.1690 -3.6674 4.5245 -2.2479 1.2380" Properties=species:S:1:pos:R:3 pbc="T T T"
I 2.2622 -1.1239 0.6190
Sc 1.1746 -3.7946 -0.2553
O -0.0371 -1.0845 -1.8337
O -1.0505 -1.5862 0.9594
Na 0.0000 0.0000 0.0000
```

Stability ranking, top and bottom: version P is the most stable and version Q is the least stable.

Version P
Material: NaSeIO2
Method: DFT, PBE
State: optimized geometry

Summary:
**Total magnetic moment**: 0.000 μB/cell

```
5
Lattice="4.0158 0.0000 0.0000 0.0000 4.0158 0.0000 0.0000 0.0000 6.1890" Properties=species:S:1:pos:R:3 pbc="T T T"
I 0.0000 0.0000 3.0945
Na 2.0079 2.0079 3.0945
O 0.0000 2.0079 0.0000
O 2.0079 0.0000 0.0000
Se 0.0000 0.0000 0.0000
```

Version Q
Material: NaSeIO2
Method: DFT, PBE
State: optimized geometry

Summary:
**Total magnetic moment**: 3.458 μB/cell

```
5
Lattice="4.3421 0.0000 0.0000 0.0000 4.3421 0.0000 0.0000 0.0000 6.6228" Properties=species:S:1:pos:R:3 pbc="T T T"
I 0.0000 0.0000 3.3114
Na 0.0000 0.0000 0.0000
O 0.0000 2.1710 0.0000
O 2.1710 0.0000 0.0000
Se 2.1710 2.1710 3.3114
```

Stability ranking, top and bottom: version P is the most stable and version Q is the least stable.

Version P
Material: NaSnI2O
Method: DFT, PBE
State: optimized geometry

Summary:
**Total magnetic moment**: 0.000 μB/cell

```
5
Lattice="6.2318 0.0000 0.0000 0.0000 6.2318 0.0000 0.0000 0.0000 4.1030" Properties=species:S:1:pos:R:3 pbc="T T T"
I 0.0000 3.1159 0.0000
I 3.1159 0.0000 0.0000
Na 3.1159 3.1159 2.0515
Sn 0.0000 0.0000 0.0000
O 0.0000 0.0000 2.0515
```

Version Q
Material: NaSnI2O
Method: DFT, PBE
State: optimized geometry

Summary:
**Total magnetic moment**: 1.161 μB/cell

```
5
Lattice="5.8701 0.0000 0.0000 0.0000 5.8701 0.0000 0.0000 0.0000 4.2965" Properties=species:S:1:pos:R:3 pbc="T T T"
I 0.0000 2.9351 0.0000
I 2.9351 0.0000 0.0000
Na 0.0000 0.0000 0.0000
Sn 2.9351 2.9351 2.1482
O 0.0000 0.0000 2.1482
```

Stability ranking, top and bottom: version P is the most stable and version Q is the least stable.